The following is a DFT calculation (PBE+U) of BaCoH2F after structural relaxation.

Lattice parameters (Å, degrees): 3.6800 5.6855 3.6800 90.00 90.00 90.00
Each line ends with the local moment (μB).
Positions (direct):
H  0.0000  0.0000  0.5000  -0.01
F  0.5000  0.5000  0.5000  0.00
Co  0.0000  0.0000  0.0000  1.92
Ba  0.0000  0.5000  0.0000  -0.01
H  0.5000  0.0000  0.0000  0.01

Computed properties:
Fermi-level density of states = 0.4 states/eV per cell
space group = P4/mmm
uncorrected energy = -19.294 eV/cell
magnetic moment = 0.399 μB per atom